# InRu2

InRu2 after structural relaxation (GGA-PBEsol, Alexandria via LeMat-Bulk).

- SG: I4/mmm
- ΔE_f: 0.07 eV per atom

Lattice parameters (Å, degrees): 2.8252 2.8252 6.1080 103.37 103.37 90.00
Fractional positions:
In  0.0000  0.0000  0.0000
Ru  0.6807  0.6807  0.3614
Ru  0.3193  0.3193  0.6386